Compound: RbP2OsO
Source: Alexandria via LeMat-Bulk
Functional: GGA-PBEsol
Structure: optimized geometry

abc: 3.815 4.877 4.877
angles: 90.00 90.00 90.00
Atoms (fractional coordinates):
1 P 0.000 0.000 0.500
2 P 0.000 0.500 0.000
3 Os 0.000 0.000 0.000
4 O 0.500 0.000 0.000
5 Rb 0.500 0.500 0.500

Results
As for the symmetry: No. 123. For the density of states at the Fermi level, the calculation gives 0.914 states/eV per atom. As for the mass density: 6.47 Mg/m³. For the formation energy from raw total energies, the calculation gives 103 meV per atom.

=====

Compound: La2Au
Source: Alexandria via LeMat-Bulk
Functional: GGA-PBEsol
Structure: optimized geometry

abc: 5.084 7.269 9.348
angles: 90.00 90.00 90.00
Atoms (fractional coordinates):
1 Au 0.750 0.241 0.591
2 Au 0.750 0.741 0.909
3 Au 0.250 0.259 0.091
4 Au 0.250 0.759 0.409
5 La 0.750 0.658 0.589
6 La 0.250 0.001 0.679
7 La 0.250 0.501 0.821
8 La 0.750 0.158 0.911
9 La 0.250 0.842 0.089
10 La 0.750 0.499 0.179
11 La 0.750 0.999 0.321
12 La 0.250 0.342 0.411

Results
As for the symmetry: No. 62. For the density of states at the Fermi level, the calculation gives 0.967 states/eV per atom. The value obtained for the formation enthalpy at 0 K is -52 kJ per mole of atoms. As for the mass density: 9.13 Mg/m³.

=====

Compound: PrCuW2O8
Source: Alexandria via LeMat-Bulk
Functional: GGA-PBEsol
Structure: optimized geometry

abc: 4.979 6.032 6.274
angles: 108.92 92.37 111.34
Atoms (fractional coordinates):
1 Pr 0.000 0.500 0.000
2 O 0.508 0.775 0.083
3 O 0.990 0.247 0.229
4 O 0.469 0.798 0.522
5 O 0.024 0.188 0.660
6 O 0.010 0.753 0.771
7 O 0.492 0.225 0.917
8 O 0.531 0.202 0.478
9 O 0.976 0.812 0.340
10 Cu 0.500 0.500 0.500
11 W 0.756 0.021 0.337
12 W 0.244 0.979 0.663

Results
As for the symmetry: No. 2. As for the mass density: 7.12 Mg/m³. For the formation energy from raw total energies, the calculation gives -2205 meV per atom.

=====

Compound: MgNi2Sb
Source: Alexandria via LeMat-Bulk
Functional: GGA-PBEsol
Structure: optimized geometry

abc: 3.750 3.748 4.873
angles: 112.62 112.63 90.00
Atoms (fractional coordinates):
1 Mg 0.250 0.750 0.500
2 Ni 0.000 0.000 0.000
3 Ni 0.750 0.250 0.500
4 Sb 0.500 0.500 0.000

Results
As for the symmetry: No. 119. For the density of states at the Fermi level, the calculation gives 0.377 states/eV per atom. As for the mass density: 7.61 Mg/m³. For the formation energy from raw total energies, the calculation gives -156 meV per atom.

=====

Compound: MgC3
Source: Alexandria via LeMat-Bulk
Functional: GGA-PBEsol
Structure: optimized geometry

abc: 2.612 2.612 5.524
angles: 76.33 76.33 60.00
Atoms (fractional coordinates):
1 Mg 0.000 0.000 0.000
2 C 0.775 0.775 0.676
3 C 0.500 0.500 0.500
4 C 0.225 0.225 0.324

Results
As for the symmetry: No. 166. For the density of states at the Fermi level, the calculation gives 0.328 states/eV per atom. The value obtained for the formation enthalpy at 0 K is 179 kJ per mole of atoms. The energy above the lowest structure with this stoichiometry comes out at 346.2 kJ/mol of formula units. As for the mass density: 3.19 Mg/m³.

=====

Compound: Ca2YTiFe
Source: Alexandria via LeMat-Bulk
Functional: GGA-PBEsol
Structure: optimized geometry

abc: 4.115 5.689 5.689
angles: 90.00 90.00 90.00
Last column: magnetic moment on the atom in μB.
Atoms (fractional coordinates):
1 Y 0.500 0.500 0.500  0.06
2 Ca 0.000 0.000 0.500  -0.03
3 Ca 0.000 0.500 0.000  -0.03
4 Fe 0.500 0.000 0.000  1.09
5 Ti 0.000 0.000 0.000  -0.53

Results
As for the symmetry: No. 123. For the density of states at the Fermi level, the calculation gives 0.992 states/eV per atom. The value obtained for the formation enthalpy at 0 K is 68 kJ per mole of atoms. As for the mass density: 3.40 Mg/m³.

=====

Compound: Be2CuNi
Source: Alexandria via LeMat-Bulk
Functional: GGA-PBEsol
Structure: optimized geometry

abc: 2.444 3.565 4.366
angles: 90.00 106.26 90.00
Atoms (fractional coordinates):
1 Ni 0.405 0.500 0.810
2 Cu 0.082 0.000 0.164
3 Be 0.820 0.000 0.640
4 Be 0.674 0.500 0.347

Results
As for the symmetry: No. 38. For the density of states at the Fermi level, the calculation gives 0.293 states/eV per atom. The value obtained for the formation enthalpy at 0 K is -22 kJ per mole of atoms. As for the mass density: 6.38 Mg/m³.

=====

Compound: BaInH3
Source: Alexandria via LeMat-Bulk
Functional: GGA-PBEsol
Structure: optimized geometry

abc: 4.872 4.872 4.872
angles: 90.00 90.00 90.00
Atoms (fractional coordinates):
1 H 0.000 0.500 0.000
2 H 0.000 0.000 0.500
3 H 0.500 0.000 0.000
4 Ba 0.000 0.000 0.000
5 In 0.500 0.500 0.500

Results
As for the symmetry: No. 221. For the density of states at the Fermi level, the calculation gives 0.055 states/eV per atom. The total energy is -2.756 eV/atom. As for the mass density: 3.66 Mg/m³.

=====

Compound: Al8Zn3CdS16
Source: Alexandria via LeMat-Bulk
Functional: GGA-PBEsol
Structure: optimized geometry

abc: 7.186 7.186 12.438
angles: 73.21 73.21 60.00
Atoms (fractional coordinates):
1 Al 0.250 0.250 0.250
2 Al 0.750 0.750 0.750
3 Al 0.500 0.001 0.998
4 Al 0.000 0.499 0.502
5 Al 0.500 0.500 0.998
6 Al 0.000 0.000 0.502
7 Al 0.001 0.500 0.998
8 Al 0.499 0.000 0.502
9 Zn 0.437 0.437 0.688
10 Zn 0.562 0.562 0.313
11 Zn 0.063 0.063 0.812
12 Cd 0.938 0.938 0.187
13 S 0.867 0.867 0.399
14 S 0.371 0.371 0.888
15 S 0.147 0.588 0.117
16 S 0.639 0.101 0.621
17 S 0.147 0.147 0.117
18 S 0.639 0.639 0.621
19 S 0.588 0.147 0.117
20 S 0.101 0.639 0.621
21 S 0.630 0.630 0.110
22 S 0.130 0.130 0.610
23 S 0.360 0.900 0.380
24 S 0.860 0.400 0.880
25 S 0.360 0.360 0.380
26 S 0.860 0.860 0.880
27 S 0.900 0.360 0.380
28 S 0.400 0.860 0.880

Results
As for the symmetry: No. 160. For the density of states at the Fermi level, the calculation gives 0.000 states/eV per atom. As for the mass density: 3.29 Mg/m³. For the formation energy from raw total energies, the calculation gives -1041 meV per atom.

=====

Compound: Sr2ZnTe
Source: Alexandria via LeMat-Bulk
Functional: GGA-PBEsol
Structure: optimized geometry

abc: 4.045 5.480 5.480
angles: 90.01 90.00 90.00
Atoms (fractional coordinates):
1 Sr 0.000 0.000 0.500
2 Sr 0.000 0.500 0.000
3 Zn 0.500 0.000 0.000
4 Te 0.500 0.500 0.500

Results
As for the symmetry: No. 123. For the density of states at the Fermi level, the calculation gives 0.592 states/eV per atom. The energy above the lowest structure with this stoichiometry comes out at 1.4 kJ/mol of formula units. As for the mass density: 5.03 Mg/m³. For the formation energy from raw total energies, the calculation gives -751 meV per atom.

=====

Compound: InHO2
Source: Alexandria via LeMat-Bulk
Functional: GGA-PBEsol
Structure: optimized geometry

abc: 3.286 4.525 5.289
angles: 90.00 90.00 90.00
Atoms (fractional coordinates):
1 H 0.500 0.500 0.000
2 H 0.000 0.000 0.500
3 O 0.500 0.279 0.869
4 O 0.500 0.721 0.131
5 O 0.000 0.221 0.369
6 O 0.000 0.779 0.631
7 In 0.500 0.500 0.500
8 In 0.000 0.000 0.000

Results
As for the symmetry: No. 58. For the density of states at the Fermi level, the calculation gives 0.000 states/eV per atom. The total energy is -5.636 eV/atom. As for the mass density: 6.24 Mg/m³.

=====

Compound: AgMoP2
Source: Alexandria via LeMat-Bulk
Functional: GGA-PBEsol
Structure: optimized geometry

abc: 4.378 4.378 4.378
angles: 60.00 60.00 60.00
Atoms (fractional coordinates):
1 Ag 0.500 0.500 0.500
2 Mo 0.250 0.250 0.250
3 P 0.000 0.000 0.000
4 P 0.750 0.750 0.750

Results
As for the symmetry: No. 216. For the density of states at the Fermi level, the calculation gives 0.840 states/eV per atom. The value obtained for the formation enthalpy at 0 K is 62 kJ per mole of atoms. The energy above the lowest structure with this stoichiometry comes out at 292.2 kJ/mol of formula units. As for the mass density: 7.44 Mg/m³.